The following is a DFT calculation (PBE) of a geometry-optimized HfMgHg2Au structure.

Fermi-level density of states (states/eV/f.u.): 3.3
Symmetry: No. 123
Calculated density (g cm⁻³): 9.2
Calculated volume (Å³ per atom): 28.91
VASP energy (eV per cell): -12.8
Energy relative to the elements (meV per atom): 534

Cell and atoms, written as POSCAR:
```
HfMgHg2Au
1.0
-1.3623 1.1502 -4.9380
-5.0630 -0.4605 1.2895
-0.1508 5.1016 1.2299
Hg Au Hf Mg
2 1 1 1
Direct
0.5000 0.0000 0.0000
0.0000 0.0000 0.5000
0.0000 0.0000 0.0000
0.0000 0.5000 0.0000
0.5000 0.5000 0.5000
```